Run 1
The following is a PBE-GGA calculation of an optimized crystal structure of HoGa2Cu9, from the Alexandria database.

Values from the calculation:
M_tot	0.0	μB per cell

Cell: 4.9642 4.9642 23.8798 Å, 90.00 90.00 120.00°
Closest atoms and distances in Å follow each position.
Space group R-3m (No. 166, hexagonal axes)
One atom of each set of equivalent atoms:
Ho (0.0000, 0.0000, 0.0000) (multiplicity 3)  6 Cu 2.87
Ga (0.0000, 0.0000, 0.1418) (multiplicity 6)  12 Cu 2.82-2.93, 3 Ga 3.10
Cu (0.0000, 0.0000, 0.3339) (multiplicity 6)  6 Cu 2.50-2.51
Cu (0.0000, 0.0000, 0.5000) (multiplicity 3)  6 Cu 2.41
Cu (0.0053, 0.5026, 0.9140) (multiplicity 18)  7 Cu 2.41-2.52

---

Run 2
The following is a PBE-GGA calculation of an optimized crystal structure of HoGa2Cu9, from the Alexandria database.

Values from the calculation:
M_tot	0.0	μB per cell

Cell: 10.1011 10.1011 6.6056 Å, 90.00 90.00 90.00°
Closest atoms and distances in Å follow each position.
Space group I4_1/amd (No. 141, origin choice 2)
One atom of each set of equivalent atoms:
Ho (0.0000, 0.2500, 0.3750) (multiplicity 4)  18 Cu 3.15-3.30
Ga (0.0000, 0.0000, 0.0000) (multiplicity 8)  10 Cu 2.49-2.66
Cu (0.0000, 0.2500, 0.8750) (multiplicity 4)  4 Ga 2.66, 8 Cu 2.76
Cu (0.1217, 0.0421, 0.6787) (multiplicity 32)  5 Cu 2.46-2.54, 2 Ga 2.49-2.51

---

Stability verdict: run 2, ahead by 37 meV/atom

---

Run 1
The following is a PBE-GGA calculation of an optimized crystal structure of Ho3Ga2Cu, from the Alexandria database.

Values from the calculation:
M_tot	0.0	μB per cell

Cell: 3.4219 3.4219 11.2168 Å, 90.00 90.00 90.00°
Closest atoms and distances in Å follow each position.
Space group P4/mmm (No. 123)
One atom of each set of equivalent atoms:
Ho (0.0000, 0.0000, 0.0000) (multiplicity 1)  8 Ga 3.11, 4 Ho 3.42
Ho (0.0000, 0.0000, 0.3443) (multiplicity 2)  4 Cu 2.98, 4 Ga 3.08
Ga (0.5000, 0.5000, 0.1741) (multiplicity 2)  8 Ho 3.08-3.11, 4 Ga 3.42
Cu (0.5000, 0.5000, 0.5000) (multiplicity 1)  8 Ho 2.98

---

Run 2
The following is a PBE-GGA calculation of an optimized crystal structure of Ho3Ga2Cu, from the Alexandria database.

Values from the calculation:
M_tot	0.0	μB per cell

Cell: 11.6128 4.3148 10.9922 Å, 90.00 90.00 90.00°
Closest atoms and distances in Å follow each position.
Space group Pnma (No. 62)
One atom of each set of equivalent atoms:
Ho (0.0508, 0.2500, 0.1310) (multiplicity 4)  1 Cu 2.91, 5 Ga 3.00-3.16
Ho (0.1274, 0.7500, 0.5682) (multiplicity 4)  3 Cu 2.96-2.97, 5 Ga 3.00-3.12
Ho (0.2187, 0.2500, 0.8063) (multiplicity 4)  2 Cu 2.95, 4 Ga 3.06-3.12
Ga (0.0165, 0.7500, 0.3192) (multiplicity 4)  2 Cu 2.60
Ga (0.1870, 0.7500, 0.0083) (multiplicity 4)  1 Cu 2.58
Cu (0.1245, 0.2500, 0.3839) (multiplicity 4)  3 Ga 2.58-2.60

---

Stability verdict: run 2, ahead by 7 meV/atom

---

Run 1
The following is a PBE-GGA calculation of an optimized crystal structure of HoGa2Cu3, from the Alexandria database.

Values from the calculation:
M_tot	0.0	μB per cell

Cell: 4.2249 7.1577 13.2145 Å, 90.00 90.00 90.00°
Closest atoms and distances in Å follow each position.
Space group Immm (No. 71)
One atom of each set of equivalent atoms:
Ho (0.0000, 0.0000, 0.1373) (multiplicity 4)  8 Cu 2.83-3.06, 6 Ga 3.07-3.17
Ga (0.0000, 0.3210, 0.5000) (multiplicity 4)  4 Cu 2.39-2.50, 1 Ga 2.56
Ga (0.0000, 0.5000, 0.1842) (multiplicity 4)  8 Cu 2.55-2.83
Cu (0.0000, 0.1989, 0.3227) (multiplicity 8)  3 Ga 2.50-2.55
Cu (0.0000, 0.3349, 0.0000) (multiplicity 4)  1 Cu 2.36, 2 Ga 2.39

---

Run 2
The following is a PBE-GGA calculation of an optimized crystal structure of HoGa2Cu3, from the Alexandria database.

Values from the calculation:
M_tot	0.0	μB per cell

Cell: 4.1627 4.1627 13.0113 Å, 90.00 90.00 120.00°
Closest atoms and distances in Å follow each position.
Space group P6_3/mmc (No. 194)
One atom of each set of equivalent atoms:
Ho (0.0000, 0.0000, 0.2500) (multiplicity 2)  6 Ga 3.01, 8 Cu 3.23-3.25
Ga (0.3333, 0.6667, 0.1110) (multiplicity 4)  4 Cu 2.43-2.54
Cu (0.0000, 0.0000, 0.0000) (multiplicity 2)  6 Cu 2.64, 6 Ga 2.80
Cu (0.3333, 0.6667, 0.5845) (multiplicity 4)  4 Ga 2.43-2.54, 3 Cu 2.64

---

Stability verdict: run 2, ahead by 88 meV/atom

---

Run 1
The following is a PBE-GGA calculation of an optimized crystal structure of Ho4GaCu2, from the Alexandria database.

Values from the calculation:
M_tot	0.0	μB per cell

Cell: 7.1395 7.3616 7.6561 Å, 108.41 106.74 108.02°
Closest atoms and distances in Å follow each position.
Space group P1 (No. 1)
One atom of each set of equivalent atoms:
Ho (0.0000, 0.0000, 0.0000) (multiplicity 1)  4 Cu 2.85-3.08, 2 Ga 3.02-3.18
Ho (0.0635, 0.5926, 0.1893) (multiplicity 1)  3 Cu 2.82-2.96, 1 Ga 3.04
Ho (0.2492, 0.3741, 0.8388) (multiplicity 1)  4 Cu 2.83-3.15, 2 Ga 3.03
Ho (0.3753, 0.1304, 0.4562) (multiplicity 1)  3 Cu 2.91-3.23, 2 Ga 2.92-3.03
Ho (0.4512, 0.7343, 0.6619) (multiplicity 1)  4 Cu 2.88-3.07, 2 Ga 2.93-3.10
Ho (0.5925, 0.1845, 0.0677) (multiplicity 1)  1 Cu 2.75, 2 Ga 2.92-3.01
Ho (0.7373, 0.8797, 0.3367) (multiplicity 1)  4 Cu 3.09-3.36, 2 Ga 3.09-3.17
Ho (0.8695, 0.5294, 0.5935) (multiplicity 1)  4 Cu 2.79-3.06
Ga (0.4196, 0.4468, 0.2780) (multiplicity 1)  1 Cu 2.90, 8 Ho 2.92-3.18
Ga (0.7738, 0.1844, 0.7575) (multiplicity 1)  1 Cu 2.85, 8 Ho 2.92-3.19
Cu (0.0607, 0.3032, 0.3842) (multiplicity 1)  8 Ho 2.86-3.16, 1 Ga 2.90
Cu (0.1554, 0.9270, 0.6586) (multiplicity 1)  6 Ho 2.79-3.11, 1 Cu 3.00
Cu (0.2840, 0.8008, 0.9938) (multiplicity 1)  6 Ho 2.75-3.07, 1 Cu 3.00
Cu (0.6867, 0.5449, 0.8906) (multiplicity 1)  5 Ho 2.82-3.07, 1 Ga 2.85

---

Run 2
The following is a PBE-GGA calculation of an optimized crystal structure of Ho4GaCu2, from the Alexandria database.

Values from the calculation:
M_tot	0.0	μB per cell

Cell: 4.9043 4.9043 23.6288 Å, 90.00 90.00 120.00°
Closest atoms and distances in Å follow each position.
Space group R-3m (No. 166, hexagonal axes)
One atom of each set of equivalent atoms:
Ho (0.0000, 0.0000, 0.1192) (multiplicity 6)  4 Cu 2.93-3.00, 3 Ga 3.05
Ho (0.0000, 0.0000, 0.3718) (multiplicity 6)  4 Cu 2.97-3.06, 1 Ga 3.03
Ga (0.0000, 0.0000, 0.5000) (multiplicity 3)  8 Ho 3.03-3.05
Cu (0.0000, 0.0000, 0.2462) (multiplicity 6)  8 Ho 2.93-3.06

---

Stability verdict: run 1, ahead by 24 meV/atom

---

Run 1
The following is a PBE-GGA calculation of an optimized crystal structure of GaCuI6, from the Alexandria database.

Values from the calculation:
M_tot	0.0	μB per cell

Cell: 9.1775 9.4186 7.7266 Å, 90.00 95.20 90.00°
Closest atoms and distances in Å follow each position.
Space group C2/m (No. 12)
One atom of each set of equivalent atoms:
Ga (0.0000, 0.0000, 0.0000) (multiplicity 2)  6 I 2.72-2.90
Cu (0.0000, 0.0000, 0.5000) (multiplicity 2)  4 I 2.58
I (0.0621, 0.1961, 0.2862) (multiplicity 8)  1 Cu 2.58
I (0.2109, 0.5000, 0.0544) (multiplicity 4)  1 Ga 2.72

---

Run 2
The following is a PBE-GGA calculation of an optimized crystal structure of GaCuI6, from the Alexandria database.

Values from the calculation:
M_tot	0.0	μB per cell

Cell: 6.3069 7.6526 7.8618 Å, 65.23 81.61 85.50°
Closest atoms and distances in Å follow each position.
Space group P-1 (No. 2)
One atom of each set of equivalent atoms:
Ga (0.0000, 0.0000, 0.0000) (multiplicity 1)  2 I 2.60
Cu (0.5000, 0.5000, 0.0000) (multiplicity 1)  4 I 2.55-2.60
I (0.1097, 0.8173, 0.3376) (multiplicity 2)  1 Ga 2.60
I (0.2441, 0.3602, 0.8595) (multiplicity 2)  1 Cu 2.60
I (0.3601, 0.8368, 0.8049) (multiplicity 2)  1 Cu 2.55

---

Stability verdict: run 1, ahead by 23 meV/atom

---

Run 1
The following is a PBE-GGA calculation of an optimized crystal structure of Ga2CuI, from the Alexandria database.

Values from the calculation:
M_tot	0.0	μB per cell

Cell: 7.3838 7.3838 7.3838 Å, 90.00 90.00 90.00°
Closest atoms and distances in Å follow each position.
Space group Fm-3m (No. 225)
One atom of each set of equivalent atoms:
Ga (0.2500, 0.2500, 0.2500) (multiplicity 8)  4 Cu 3.20, 4 I 3.20
Cu (0.0000, 0.0000, 0.0000) (multiplicity 4)  8 Ga 3.20
I (0.0000, 0.0000, 0.5000) (multiplicity 4)  8 Ga 3.20

---

Run 2
The following is a PBE-GGA calculation of an optimized crystal structure of Ga2CuI, from the Alexandria database.

Values from the calculation:
M_tot	0.0	μB per cell

Cell: 5.7752 5.7752 14.2393 Å, 90.00 90.00 90.00°
Closest atoms and distances in Å follow each position.
Space group I-42d (No. 122)
One atom of each set of equivalent atoms:
Ga (0.1229, 0.2500, 0.1250) (multiplicity 8)  2 Cu 2.40
Cu (0.0000, 0.0000, 0.0000) (multiplicity 4)  4 Ga 2.40
I (0.0000, 0.0000, 0.5000) (multiplicity 4)  4 Ga 3.16

---

Stability verdict: run 2, ahead by 291 meV/atom

---

Run 1
The following is a PBE-GGA calculation of an optimized crystal structure of GaCuI3, from the Alexandria database.

Values from the calculation:
M_tot	0.0	μB per cell

Cell: 4.1647 22.7026 7.7432 Å, 90.00 90.00 90.00°
Closest atoms and distances in Å follow each position.
Space group Cmc2_1 (No. 36)
One atom of each set of equivalent atoms:
Ga (0.0000, 0.1718, 0.0000) (multiplicity 4)  2 Cu 2.68, 3 I 2.93-2.96
Cu (0.0000, 0.3685, 0.6843) (multiplicity 4)  4 I 2.61-2.70, 2 Ga 2.68
I (0.0000, 0.0885, 0.3446) (multiplicity 4)  2 Cu 2.61
I (0.0000, 0.2499, 0.6984) (multiplicity 4)  1 Cu 2.69, 1 Ga 2.93
I (0.0000, 0.4063, 0.3534) (multiplicity 4)  1 Cu 2.70, 2 Ga 2.96

---

Run 2
The following is a PBE-GGA calculation of an optimized crystal structure of GaCuI3, from the Alexandria database.

Values from the calculation:
M_tot	0.0	μB per cell

Cell: 5.4845 5.4845 5.4845 Å, 90.00 90.00 90.00°
Closest atoms and distances in Å follow each position.
Space group Pm-3m (No. 221)
One atom of each set of equivalent atoms:
Ga (0.0000, 0.0000, 0.0000) (multiplicity 1)  12 I 3.88
Cu (0.5000, 0.5000, 0.5000) (multiplicity 1)  6 I 2.74
I (0.0000, 0.5000, 0.5000) (multiplicity 3)  2 Cu 2.74

---

Stability verdict: run 1, ahead by 166 meV/atom

---

Run 1
The following is a PBE-GGA calculation of an optimized crystal structure of GaCuIN2, from the Alexandria database.

Values from the calculation:
M_tot	4.0	μB per cell

Cell: 4.0678 4.0678 6.1579 Å, 90.00 90.00 90.00°
Closest atoms and distances in Å follow each position.
Space group P4/mmm (No. 123)
One atom of each set of equivalent atoms:
Ga (0.0000, 0.0000, 0.0000) (multiplicity 1)  4 I 2.88
Cu (0.5000, 0.5000, 0.5000) (multiplicity 1)  4 N 2.03
I (0.5000, 0.5000, 0.0000) (multiplicity 1)  4 Ga 2.88, 2 Cu 3.08
N (0.0000, 0.5000, 0.5000) (multiplicity 2)  2 Cu 2.03

---

Run 2
The following is a PBE-GGA calculation of an optimized crystal structure of GaCuIN2, from the Alexandria database.

Values from the calculation:
M_tot	0.9	μB per cell

Cell: 3.7822 3.7822 7.4146 Å, 90.00 90.00 90.00°
Closest atoms and distances in Å follow each position.
Space group P4/mmm (No. 123)
One atom of each set of equivalent atoms:
Ga (0.0000, 0.0000, 0.0000) (multiplicity 1)  4 N 1.89
Cu (0.5000, 0.5000, 0.5000) (multiplicity 1)  4 I 2.67
I (0.0000, 0.0000, 0.5000) (multiplicity 1)  4 Cu 2.67
N (0.0000, 0.5000, 0.0000) (multiplicity 2)  2 Ga 1.89

---

Stability verdict: run 2, ahead by 231 meV/atom